Record 1
Density functional theory data (PBE with a Hubbard U) for Ac2Cu2NiO6 after structural relaxation.

a b c (Å): 5.8142 5.8142 15.6736
angles (deg): 90.00 90.00 120.00
With the nearest neighbours (Å) after each atom.
Space group R-3m (No. 166, hexagonal axes)
Asymmetric unit:
Ac 0.0000 0.0000 0.2190 [6 per cell]  3 O 2.53
Cu 0.0000 0.0000 0.4190 [6 per cell]  3 O 1.85
Ni 0.0000 0.0000 0.0000 [3 per cell]  6 O 2.05
O 0.0340 0.5170 0.7557 [18 per cell]  1 Cu 1.85, 1 Ni 2.05

Properties
DOS(E_F) ... 0.30 states/eV per atom
V ... 13.905 Å³ per atom

Record 2
Density functional theory data (PBE with a Hubbard U) for Ac3Cu2NiO8 after structural relaxation.

a b c (Å): 5.5429 5.5429 7.3561
angles (deg): 90.00 90.00 120.00
With the nearest neighbours (Å) after each atom.
Space group P-3m1 (No. 164)
Asymmetric unit:
Ac 0.0000 0.0000 0.0000 [1 per cell]  12 O 2.89-3.23
Ac 0.3333 0.6667 0.6310 [2 per cell]  1 O 2.28
Cu 0.3333 0.6667 0.1883 [2 per cell]  4 O 1.82-1.96
Ni 0.0000 0.0000 0.5000 [1 per cell]  6 O 1.98
O 0.1612 0.3223 0.3312 [6 per cell]  1 Cu 1.96, 1 Ni 1.98
O 0.3333 0.6667 0.9415 [2 per cell]  1 Cu 1.82

Properties
DOS(E_F) ... 0.38 states/eV per atom
V ... 13.981 Å³ per atom

Record 3
Density functional theory data (PBE with a Hubbard U) for Ac2CuNiO5 after structural relaxation.

a b c (Å): 7.2067 7.2067 5.5359
angles (deg): 90.00 90.00 90.00
With the nearest neighbours (Å) after each atom.
Space group P4/mbm (No. 127)
Asymmetric unit:
Ac 0.1811 0.3189 0.0000 [4 per cell]  8 O 2.45-2.68
Cu 0.0000 0.5000 0.5000 [2 per cell]  4 O 1.83
Ni 0.0000 0.0000 0.5000 [2 per cell]  2 O 2.77
O 0.0000 0.0000 0.0000 [2 per cell]  4 Ac 2.64, 2 Ni 2.77
O 0.1261 0.6261 0.2635 [8 per cell]  1 Cu 1.83

Properties
V ... 15.973 Å³ per atom

Short version: E_tot = -202.53; -89.53; -111.76 eV for the cell shown, in the order given.